(1)
# EuGaCu, relaxed, DFT PBE
# - crystal system = monoclinic
# - formation energy (meV per atom) = -349
data_EuGaCu
_cell_length_a 5.6378
_cell_length_b 5.6378
_cell_length_c 7.4373
_cell_angle_alpha 51.09
_cell_angle_beta 51.09
_cell_angle_gamma 47.24
_symmetry_space_group_name_H-M 'P 1'
_symmetry_Int_Tables_number 1
_symmetry_space_group_name_Hall 'P 1'
loop_
_atom_site_label
_atom_site_fract_x
_atom_site_fract_y
_atom_site_fract_z
Eu1 0.4458 0.4458 0.3083
Eu2 0.5542 0.5542 0.6917
Ga1 0.1693 0.1693 0.8981
Ga2 0.8307 0.8307 0.1019
Cu1 0.8357 0.8357 0.7299
Cu2 0.1643 0.1643 0.2701



(2)
# Mg2TaTc, relaxed, DFT PBE
# - crystal system = orthorhombic
# - formation energy (meV per atom) = 159
data_Mg2TaTc
_cell_length_a 5.3966
_cell_length_b 5.3966
_cell_length_c 5.3966
_cell_angle_alpha 143.96
_cell_angle_beta 126.52
_cell_angle_gamma 66.18
_symmetry_space_group_name_H-M 'P 1'
_symmetry_Int_Tables_number 1
_symmetry_space_group_name_Hall 'P 1'
loop_
_atom_site_label
_atom_site_fract_x
_atom_site_fract_y
_atom_site_fract_z
Mg1 0.0148 0.0148 0.0000
Mg2 0.7484 0.2484 0.5000
Ta1 0.4691 0.4691 0.0000
Tc1 0.2678 0.7678 0.5000



(3)
# NaCdGaSb, relaxed, DFT PBE
# - energy relative to the elements, uncorrected (eV/f.u.) = -0.2
# - crystal system = cubic
data_NaCdGaSb
_cell_length_a 5.1961
_cell_length_b 5.1961
_cell_length_c 5.1961
_cell_angle_alpha 60.00
_cell_angle_beta 60.00
_cell_angle_gamma 60.00
_symmetry_space_group_name_H-M 'P 1'
_symmetry_Int_Tables_number 1
_symmetry_space_group_name_Hall 'P 1'
loop_
_atom_site_label
_atom_site_fract_x
_atom_site_fract_y
_atom_site_fract_z
Sb1 0.7500 0.7500 0.7500
Na1 0.0000 0.0000 0.0000
Ga1 0.2500 0.2500 0.2500
Cd1 0.5000 0.5000 0.5000



(4)
# RbSr2Cu2, relaxed, DFT PBE
# - crystal system = tetragonal
# - formation energy (meV per atom) = 241
data_RbSr2Cu2
_cell_length_a 9.4013
_cell_length_b 9.4013
_cell_length_c 3.7784
_cell_angle_alpha 90.00
_cell_angle_beta 90.00
_cell_angle_gamma 90.00
_symmetry_space_group_name_H-M 'P 1'
_symmetry_Int_Tables_number 1
_symmetry_space_group_name_Hall 'P 1'
loop_
_atom_site_label
_atom_site_fract_x
_atom_site_fract_y
_atom_site_fract_z
Sr1 0.3629 0.8629 0.0000
Sr2 0.8629 0.6371 0.0000
Sr3 0.6371 0.1371 0.0000
Sr4 0.1371 0.3629 0.0000
Cu1 0.1483 0.6483 0.5000
Cu2 0.6483 0.8517 0.5000
Cu3 0.8517 0.3517 0.5000
Cu4 0.3517 0.1483 0.5000
Rb1 0.0000 0.0000 0.0000
Rb2 0.5000 0.5000 0.0000



(5)
# Rb2PuF5, relaxed, DFT PBE
# - energy relative to the elements, uncorrected (eV/f.u.) = -24.7
# - crystal system = triclinic
data_Rb2PuF5
_cell_length_a 7.3281
_cell_length_b 7.3238
_cell_length_c 8.9613
_cell_angle_alpha 126.29
_cell_angle_beta 126.24
_cell_angle_gamma 84.85
_symmetry_space_group_name_H-M 'P 1'
_symmetry_Int_Tables_number 1
_symmetry_space_group_name_Hall 'P 1'
loop_
_atom_site_label
_atom_site_fract_x
_atom_site_fract_y
_atom_site_fract_z
Rb1 0.2107 0.6661 0.2799
Rb2 0.6654 0.2102 0.2792
Pu1 0.9825 0.9825 0.9956
F1 0.8753 0.2981 0.1337
F2 0.1807 0.1807 0.9848
F3 0.8967 0.8966 0.1530
F4 0.2973 0.8744 0.1325
F5 0.6684 0.6686 0.5952



(6)
# KRbCu2Cl5, relaxed, DFT PBE
# - energy relative to the elements, uncorrected (eV/f.u.) = -10.4
# - crystal system = tetragonal
data_KRbCu2Cl5
_cell_length_a 4.7511
_cell_length_b 4.7511
_cell_length_c 9.9982
_cell_angle_alpha 90.00
_cell_angle_beta 90.00
_cell_angle_gamma 90.00
_symmetry_space_group_name_H-M 'P 1'
_symmetry_Int_Tables_number 1
_symmetry_space_group_name_Hall 'P 1'
loop_
_atom_site_label
_atom_site_fract_x
_atom_site_fract_y
_atom_site_fract_z
K1 0.0000 0.0000 0.0000
Rb1 0.0000 0.0000 0.5000
Cu1 0.5000 0.5000 0.2508
Cu2 0.5000 0.5000 0.7492
Cl1 0.0000 0.5000 0.2138
Cl2 0.5000 0.0000 0.2138
Cl3 0.0000 0.5000 0.7862
Cl4 0.5000 0.0000 0.7862
Cl5 0.5000 0.5000 0.5000



(7)
# Tb5Tm2Th5, relaxed, DFT PBE
# - crystal system = monoclinic
# - formation energy (meV per atom) = 49
data_Tb5Tm2Th5
_cell_length_a 5.0378
_cell_length_b 7.9128
_cell_length_c 10.7264
_cell_angle_alpha 72.73
_cell_angle_beta 76.42
_cell_angle_gamma 71.44
_symmetry_space_group_name_H-M 'P 1'
_symmetry_Int_Tables_number 1
_symmetry_space_group_name_Hall 'P 1'
loop_
_atom_site_label
_atom_site_fract_x
_atom_site_fract_y
_atom_site_fract_z
Tb1 0.5000 0.5000 0.5000
Tb2 0.3317 0.3321 0.0044
Tb3 0.4161 0.9198 0.2479
Tb4 0.5839 0.0802 0.7521
Tb5 0.6683 0.6679 0.9956
Tm1 0.9165 0.4166 0.7504
Tm2 0.0835 0.5834 0.2496
Th1 0.8312 0.8343 0.5034
Th2 0.2503 0.7538 0.7457
Th3 0.7497 0.2462 0.2543
Th4 0.1688 0.1657 0.4966
Th5 0.0000 0.0000 0.0000



(8)
# DyHo2Tm5Zr, relaxed, DFT PBE
# - crystal system = orthorhombic
# - formation energy (meV per atom) = 174
data_DyHo2Tm5Zr
_cell_length_a 5.5434
_cell_length_b 11.0227
_cell_length_c 9.2622
_cell_angle_alpha 90.00
_cell_angle_beta 90.00
_cell_angle_gamma 104.56
_symmetry_space_group_name_H-M 'P 1'
_symmetry_Int_Tables_number 1
_symmetry_space_group_name_Hall 'P 1'
loop_
_atom_site_label
_atom_site_fract_x
_atom_site_fract_y
_atom_site_fract_z
Dy1 0.5988 0.1976 0.9273
Dy2 0.4012 0.8024 0.4273
Ho1 0.8857 0.7713 0.8204
Ho2 0.1339 0.2679 0.7139
Ho3 0.1143 0.2287 0.3204
Ho4 0.8661 0.7321 0.2139
Tm1 0.3944 0.7889 0.0445
Tm2 0.7320 0.4640 0.8288
Tm3 0.4712 0.9424 0.7464
Tm4 0.3044 0.6088 0.7117
Tm5 0.9854 0.9709 0.5124
Tm6 0.6056 0.2111 0.5445
Tm7 0.2680 0.5360 0.3288
Tm8 0.5288 0.0576 0.2464
Tm9 0.6956 0.3912 0.2117
Tm10 0.0146 0.0291 0.0124
Zr1 0.8155 0.6309 0.5186
Zr2 0.1845 0.3691 0.0186



(9)
# LaNdHoLu, relaxed, DFT PBE
# - crystal system = cubic
# - formation energy (meV per atom) = 84
data_LaNdHoLu
_cell_length_a 5.7448
_cell_length_b 5.7448
_cell_length_c 5.7448
_cell_angle_alpha 60.00
_cell_angle_beta 60.00
_cell_angle_gamma 60.00
_symmetry_space_group_name_H-M 'P 1'
_symmetry_Int_Tables_number 1
_symmetry_space_group_name_Hall 'P 1'
loop_
_atom_site_label
_atom_site_fract_x
_atom_site_fract_y
_atom_site_fract_z
Lu1 0.0000 0.0000 0.0000
Nd1 0.7500 0.7500 0.7500
Ho1 0.5000 0.5000 0.5000
La1 0.2500 0.2500 0.2500



(10)
# YPuO5, relaxed, DFT PBE
# - energy relative to the elements, uncorrected (eV/f.u.) = -19.4
# - crystal system = monoclinic
data_YPuO5
_cell_length_a 5.6557
_cell_length_b 5.6557
_cell_length_c 8.0948
_cell_angle_alpha 68.98
_cell_angle_beta 68.98
_cell_angle_gamma 70.30
_symmetry_space_group_name_H-M 'P 1'
_symmetry_Int_Tables_number 1
_symmetry_space_group_name_Hall 'P 1'
loop_
_atom_site_label
_atom_site_fract_x
_atom_site_fract_y
_atom_site_fract_z
Y1 0.5441 0.4559 0.2500
Y2 0.4559 0.5441 0.7500
Pu1 0.0000 0.0000 0.0000
Pu2 0.0000 0.0000 0.5000
O1 0.7850 0.7590 0.1175
O2 0.2932 0.6909 0.4627
O3 0.7590 0.7850 0.6175
O4 0.8921 0.1079 0.2500
O5 0.3091 0.7068 0.0373
O6 0.6909 0.2932 0.9627
O7 0.1079 0.8921 0.7500
O8 0.2410 0.2150 0.3825
O9 0.7068 0.3091 0.5373
O10 0.2150 0.2410 0.8825



(11)
# Na3PS, relaxed, DFT PBE
# - energy relative to the elements, uncorrected (eV/f.u.) = -1.2
# - crystal system = cubic
data_Na3PS
_cell_length_a 5.2417
_cell_length_b 5.2417
_cell_length_c 5.2417
_cell_angle_alpha 90.00
_cell_angle_beta 90.00
_cell_angle_gamma 90.00
_symmetry_space_group_name_H-M 'P 1'
_symmetry_Int_Tables_number 1
_symmetry_space_group_name_Hall 'P 1'
loop_
_atom_site_label
_atom_site_fract_x
_atom_site_fract_y
_atom_site_fract_z
P1 0.5000 0.5000 0.5000
S1 0.0000 0.0000 0.0000
Na1 0.0000 0.5000 0.0000
Na2 0.0000 0.0000 0.5000
Na3 0.5000 0.0000 0.0000



(12)
# BaZn3Rh, relaxed, DFT PBE
# - crystal system = triclinic
# - formation energy (meV per atom) = -290
data_BaZn3Rh
_cell_length_a 5.2080
_cell_length_b 7.0592
_cell_length_c 6.6881
_cell_angle_alpha 69.78
_cell_angle_beta 90.69
_cell_angle_gamma 108.10
_symmetry_space_group_name_H-M 'P 1'
_symmetry_Int_Tables_number 1
_symmetry_space_group_name_Hall 'P 1'
loop_
_atom_site_label
_atom_site_fract_x
_atom_site_fract_y
_atom_site_fract_z
Zn1 0.0393 0.4628 0.0998
Zn2 0.8589 0.8108 0.0345
Zn3 0.2331 0.1727 0.9736
Zn4 0.4518 0.6508 0.3678
Zn5 0.6655 0.1006 0.1613
Zn6 0.4461 0.6229 0.7663
Rh1 0.3695 0.8469 0.9858
Rh2 0.5288 0.4267 0.1485
Ba1 0.7917 0.3261 0.6286
Ba2 0.1068 0.9477 0.5059



Total magnetic moment per entry: 14.16; 0.00; 0.00; 0.00; 5.00; 0.00; 0.00; 0.00; 0.01; 2.00; 2.00; 0.00 μB/cell